! ZrPd5 | OQMD | PBE | relaxed; values from VASP
&SYSTEM
  ibrav = 0, nat = 6, ntyp = 2
/
ATOMIC_SPECIES
Pd 106.42 Pd.upf
Zr 91.22 Zr.upf
CELL_PARAMETERS angstrom
0.217 -5.107 0.839
-4.211 -2.538 1.629
-2.458 -3.256 -3.192
ATOMIC_POSITIONS angstrom
Pd -3.648 -5.715 -1.863
Pd -4.522 -5.357 0.541
Pd -2.314 -6.638 0.147
Pd -4.840 -8.175 -0.542
Pd -2.422 -4.091 -0.271
Zr 0.000 0.000 0.000
! E_tot	-6.1493	eV per atom
! V	16.4	A^3/atom
! ρ	10.5	g/cm³